# PrTlV2O6 (PBE with a Hubbard U, optimized geometry)
data_PrTlV2O6
_space_group_name_H-M_alt 'C 1 2/c 1'
_space_group_IT_number 15
_space_group_name_Hall '-C 2yc'
_cell_length_a 11.0594
_cell_length_b 10.6147
_cell_length_c 6.0462
_cell_angle_alpha 90.00
_cell_angle_beta 103.23
_cell_angle_gamma 90.00
loop_
_atom_site_label
_atom_site_type_symbol
_atom_site_fract_x
_atom_site_fract_y
_atom_site_fract_z
Pr1 Pr 0.0000 0.1100 0.2500
Tl1 Tl 0.0000 0.3388 0.7500
V1 V 0.2156 0.4149 0.2927
O1 O 0.1175 0.0616 0.6248
O2 O 0.1484 0.2658 0.2266
O3 O 0.1564 0.4867 0.5318
# Calculated total energy ... -73.1 eV/f.u.
# Crystal system ... monoclinic